A relaxed VWF6 crystal. Source: Alexandria, functional PBE with a Hubbard U.

```
8
Lattice="4.771 0.005 2.487 1.728 4.439 2.500 0.024 -0.002 5.780" Properties=species:S:1:pos:R:3 pbc="T T T"
V 3.262 2.221 5.383
W 0.000 0.000 0.000
F 1.253 1.588 5.564
F 3.872 0.577 6.563
F 3.483 1.064 3.628
F 2.651 3.866 4.203
F 5.271 2.855 5.202
F 3.041 3.378 7.139
```

Results
Spin magnetization in μB/cell: 5.000
DFT total energy in eV per atom: -5.95
Space group: R-3, No. 148
Crystal system: trigonal